1.
# Hf2TiTl2

A relaxed Hf2TiTl2 crystal (PBE, Alexandria).

a b c (Å): 7.4522 7.4522 4.0194
angles (deg): 90.00 90.00 90.00
Site moments in Bohr magnetons follow the coordinates.
Fractional positions:
Tl 0.6381 0.1381 0.0000  0.00
Tl 0.3619 0.8619 0.0000  0.00
Tl 0.8619 0.6381 0.0000  0.00
Tl 0.1381 0.3619 0.0000  0.00
Hf 0.6689 0.8311 0.5000  0.15
Hf 0.3311 0.1689 0.5000  0.15
Hf 0.1689 0.6689 0.5000  0.15
Hf 0.8311 0.3311 0.5000  0.15
Ti 0.5000 0.5000 0.0000  0.97
Ti 0.0000 0.0000 0.0000  0.97

Values from the calculation:
**Energy**: -6.275 eV/atom
**DOS at the Fermi energy**: 0.97 states/eV per atom
**SG**: P4/mbm
**E_form**: 0.23 eV/atom

=====

2.
# Hf2TiTl2

A relaxed Hf2TiTl2 crystal (PBE, Alexandria).

a b c (Å): 8.5211 8.5211 3.2086
angles (deg): 90.00 90.00 90.00
Site moments in Bohr magnetons follow the coordinates.
Fractional positions:
Tl 0.1741 0.6741 0.5000  -0.01
Tl 0.3259 0.1741 0.5000  -0.01
Tl 0.8259 0.3259 0.5000  -0.01
Tl 0.6741 0.8259 0.5000  -0.01
Hf 0.6249 0.1249 0.0000  0.08
Hf 0.1249 0.3751 0.0000  0.09
Hf 0.8751 0.6249 0.0000  0.09
Hf 0.3751 0.8751 0.0000  0.08
Ti 0.5000 0.5000 0.0000  1.31
Ti 0.0000 0.0000 0.0000  1.31

Values from the calculation:
**Energy**: -6.046 eV/atom
**DOS at the Fermi energy**: 0.69 states/eV per atom
**SG**: P4/mbm
**E_form**: 0.46 eV/atom

=====

3.
# Hf4Ti2Tl3

A relaxed Hf4Ti2Tl3 crystal (PBE, Alexandria).

a b c (Å): 3.3230 8.0762 7.7955
angles (deg): 109.62 102.31 90.00
Fractional positions:
Hf 0.4539 0.6619 0.9077
Hf 0.5461 0.3381 0.0923
Hf 0.2078 0.3232 0.4156
Hf 0.7922 0.6768 0.5844
Tl 0.1288 0.6776 0.2576
Tl 0.0000 0.0000 0.0000
Tl 0.8712 0.3224 0.7424
Ti 0.3282 0.9997 0.6563
Ti 0.6718 0.0003 0.3437

Values from the calculation:
**Energy**: -6.910 eV/atom
**DOS at the Fermi energy**: 0.74 states/eV per atom
**SG**: C2/m
**E_form**: 0.06 eV/atom

=====

4.
# HfTiTl3

A relaxed HfTiTl3 crystal (PBE, Alexandria).

a b c (Å): 5.2435 5.2435 5.2435
angles (deg): 90.00 90.00 90.00
Fractional positions:
Hf 0.5000 0.5000 0.5000
Ti 0.0000 0.0000 0.0000
Tl 0.5000 0.0000 0.0000
Tl 0.0000 0.0000 0.5000
Tl 0.0000 0.5000 0.0000

Values from the calculation:
**Energy**: -4.071 eV/atom
**DOS at the Fermi energy**: 1.30 states/eV per atom
**SG**: Pm-3m
**E_form**: 0.92 eV/atom

=====

5.
# Hf2Ti3Tl2

A relaxed Hf2Ti3Tl2 crystal (PBE, Alexandria).

a b c (Å): 2.9871 4.8960 10.1229
angles (deg): 104.00 90.00 90.00
Site moments in Bohr magnetons follow the coordinates.
Fractional positions:
Hf 0.0000 0.4273 0.8545  0.01
Hf 0.0000 0.5727 0.1455  0.01
Ti 0.0000 0.7160 0.4317  0.90
Ti 0.0000 0.2840 0.5683  0.90
Ti 0.0000 0.0000 0.0000  0.58
Tl 0.5000 0.1461 0.2920  -0.02
Tl 0.5000 0.8539 0.7080  -0.02

Values from the calculation:
**Energy**: -6.598 eV/atom
**DOS at the Fermi energy**: 1.09 states/eV per atom
**SG**: Cmmm
**E_form**: 0.31 eV/atom

=====

6.
# HfTi6Tl

A relaxed HfTi6Tl crystal (PBE, Alexandria).

a b c (Å): 4.6718 4.6718 8.3386
angles (deg): 73.73 73.73 60.00
Site moments in Bohr magnetons follow the coordinates.
Fractional positions:
Tl 0.5000 0.5000 0.5000  -0.02
Ti 0.7436 0.7436 0.7692  0.74
Ti 0.3792 0.3792 0.8624  0.32
Ti 0.1227 0.1227 0.6320  0.31
Ti 0.2564 0.2564 0.2308  0.74
Ti 0.8773 0.8773 0.3680  0.31
Ti 0.6208 0.6208 0.1376  0.32
Hf 0.0000 0.0000 0.0000  -0.07

Values from the calculation:
**Energy**: -7.350 eV/atom
**DOS at the Fermi energy**: 1.56 states/eV per atom
**SG**: R-3m
**E_form**: 0.11 eV/atom

=====

7.
# Hf3Ti3Tl

A relaxed Hf3Ti3Tl crystal (PBE, Alexandria).

a b c (Å): 4.8309 8.2365 8.2365
angles (deg): 120.00 90.00 90.00
Fractional positions:
Ti 0.7500 0.5026 0.0966
Ti 0.2500 0.4974 0.9034
Ti 0.7500 0.5940 0.4974
Ti 0.2500 0.0966 0.5940
Ti 0.7500 0.9034 0.4060
Ti 0.2500 0.4060 0.5026
Hf 0.7500 0.0827 0.8257
Hf 0.2500 0.9173 0.1743
Hf 0.7500 0.1743 0.2570
Hf 0.2500 0.2570 0.0827
Hf 0.2500 0.8257 0.7430
Hf 0.7500 0.7430 0.9173
Tl 0.2500 0.6667 0.3333
Tl 0.7500 0.3333 0.6667

Values from the calculation:
**Energy**: -7.900 eV/atom
**DOS at the Fermi energy**: 1.58 states/eV per atom
**SG**: P6_3/m
**E_form**: 0.09 eV/atom

=====

8.
# HfTiTl

A relaxed HfTiTl crystal (PBE, Alexandria).

a b c (Å): 3.1297 4.8738 4.8738
angles (deg): 120.00 90.00 90.00
Site moments in Bohr magnetons follow the coordinates.
Fractional positions:
Ti 0.5002 0.3333 0.6667  0.91
Tl 0.4999 0.6667 0.3333  -0.01
Hf 0.9999 0.0000 0.0000  0.27

Values from the calculation:
**Energy**: -6.484 eV/atom
**DOS at the Fermi energy**: 1.05 states/eV per atom
**SG**: P-6m2
**E_form**: 0.25 eV/atom